# 1
First-principles (PBE) data for a relaxed BaLiZnAu3 crystal, as listed in Alexandria.

Output
DOS at the Fermi energy ... 2.633 states/eV/f.u.
Total DFT energy (no corrections) ... -2.903 eV per atom
ΔE_f ... -0.413 eV/atom

Lattice parameters (Å, degrees): 6.952 13.158 6.372 90.00 90.00 90.00
Space group Cmcm (No. 63)
Symmetry-distinct sites (fractional):
Ba 0.000 0.215 0.250 [4 per cell]
Li 0.000 0.111 0.750 [4 per cell]
Zn 0.000 0.493 0.250 [4 per cell]
Au 0.000 0.306 0.750 [4 per cell]
Au 0.205 0.000 0.000 [8 per cell]

---

# 2
First-principles (PBE) data for a relaxed Ba3Ti2N4 crystal, as listed in Alexandria.

Output
E_form (uncorrected) ... -8.540 eV/f.u.
DOS at the Fermi energy ... 2.865 states/eV/f.u.
Total DFT energy (no corrections) ... -7.044 eV per atom

Lattice parameters (Å, degrees): 12.580 9.192 6.044 90.00 92.39 90.00
Space group C2/c (No. 15)
Symmetry-distinct sites (fractional):
Ba 0.000 0.098 0.250 [4 per cell]
Ba 0.120 0.364 0.555 [8 per cell]
Ti 0.208 0.117 0.929 [8 per cell]
N 0.148 0.310 0.022 [8 per cell]
N 0.183 0.054 0.619 [8 per cell]

---

Question: The highest DOS at the Fermi energy belongs to which entry?
Answer: Ba3Ti2N4